[1]
A relaxed structure of Mg2GaNiOs, computed with PBE-GGA.

POSCAR file:
```
Mg2GaNiOs
1.0
4.635 0.000 0.000
0.000 4.635 0.000
0.000 0.000 4.484
Mg Ga Ni Os
2 1 1 1
Direct
0.000 0.500 0.000 Mg
0.500 0.000 0.000 Mg
0.000 0.000 0.500 Ga
0.500 0.500 0.000 Ni
0.500 0.500 0.500 Os
```

D(E_F) in states/eV per cell: 3.9

***

[2]
A relaxed structure of MgPaGaNi, computed with PBE-GGA.

POSCAR file:
```
MgPaGaNi
1.0
0.000 3.345 3.345
3.345 0.000 3.345
3.345 3.345 0.000
Mg Pa Ga Ni
1 1 1 1
Direct
0.000 0.000 0.000 Mg
0.500 0.500 0.500 Pa
0.750 0.750 0.750 Ga
0.250 0.250 0.250 Ni
```

D(E_F) in states/eV per cell: 3.9

***

[3]
A relaxed structure of MgPaGa2Ni2, computed with PBE-GGA.

POSCAR file:
```
MgPaGa2Ni2
1.0
4.212 0.000 0.000
-2.106 3.648 0.000
0.000 0.000 6.599
Mg Pa Ga Ni
1 1 2 2
Direct
0.000 0.000 0.000 Mg
0.000 0.000 0.500 Pa
0.333 0.667 0.788 Ga
0.667 0.333 0.212 Ga
0.333 0.667 0.245 Ni
0.667 0.333 0.755 Ni
```

D(E_F) in states/eV per cell: 6.8

***

[4]
A relaxed structure of Mg2GaNiPb, computed with PBE-GGA.

POSCAR file:
```
Mg2GaNiPb
1.0
4.907 0.000 0.000
0.000 4.907 0.000
0.000 0.000 4.576
Mg Ga Ni Pb
2 1 1 1
Direct
0.000 0.500 0.000 Mg
0.500 0.000 0.000 Mg
0.000 0.000 0.500 Ga
0.000 0.000 0.000 Ni
0.500 0.500 0.500 Pb
```

D(E_F) in states/eV per cell: 3.1

***

no.,energy of formation from the pure elements (eV/atom)
1,0.61
2,-0.20
3,-0.38
4,-0.04